Entry from Alexandria via LeMat-Bulk: an optimized crystal structure of Hg12P3Se5 (GGA-PBE).

The structure belongs to space group Ia-3d (No. 230); the cell edges are 16.333, 16.333 and 16.333 Å and the angles 90.00°, 90.00° and 90.00°. The inequivalent atoms are Hg at (0.022, 0.088, 0.653), P at (0.000, 0.250, 0.125), Se at (0.000, 0.000, 0.000) and Se at (0.000, 0.250, 0.375).

The value obtained for the density of states at the Fermi level is 93.29 states/eV/cell. For the formation energy from raw total energies, the calculation gives 0.17 eV/atom. The calculation puts the raw total energy at -1.699 eV/atom.



Entry from Alexandria via LeMat-Bulk: an optimized crystal structure of HgP2Se (GGA-PBE).

The structure belongs to space group R3m (No. 160, hexagonal axes); the cell edges are 3.3105, 3.3105 and 28.2057 Å and the angles 90.00°, 90.00° and 120.00°. The inequivalent atoms are Hg at (0.0000, 0.0000, 0.0000), P at (0.0000, 0.0000, 0.4878), P at (0.0000, 0.0000, 0.7765) and Se at (0.0000, 0.0000, 0.2170).

The value obtained for the density of states at the Fermi level is 7.45 states/eV/cell. The calculation puts the energy relative to the lowest polymorph listed for this composition at 54.1 meV/atom. For the formation energy from raw total energies, the calculation gives 0.17 eV/atom. The calculation puts the raw total energy at -3.479 eV/atom.



Entry from Alexandria via LeMat-Bulk: an optimized crystal structure of HgPSe2 (GGA-PBE).

The structure belongs to space group Cmmm (No. 65); the cell edges are 5.265, 15.159 and 2.662 Å and the angles 90.00°, 90.00° and 90.00°. The inequivalent atoms are Hg at (0.000, 0.000, 0.000), P at (0.000, 0.500, 0.000) and Se at (0.250, 0.250, 0.500).

The value obtained for the density of states at the Fermi level is 3.84 states/eV/cell. The calculation puts the energy relative to the lowest polymorph listed for this composition at 405.7 meV/atom. For the formation energy from raw total energies, the calculation gives 0.44 eV/atom. The calculation puts the raw total energy at -2.728 eV/atom.



Entry from Alexandria via LeMat-Bulk: an optimized crystal structure of HgPSe2 (GGA-PBE).

The structure belongs to space group P4mm (No. 99); the cell edges are 3.088, 3.088 and 10.567 Å and the angles 90.00°, 90.00° and 90.00°. The inequivalent atoms are Hg at (0.000, 0.000, 0.000), P at (0.500, 0.500, 0.315), Se at (0.000, 0.000, 0.422) and Se at (0.500, 0.500, 0.727).

The value obtained for the density of states at the Fermi level is 2.60 states/eV/cell. The calculation puts the energy relative to the lowest polymorph listed for this composition at 347.1 meV/atom. For the formation energy from raw total energies, the calculation gives 0.38 eV/atom. The calculation puts the raw total energy at -2.786 eV/atom.